1.
## AcTb2TaN4 (PBE)

Data for an optimized crystal structure of AcTb2TaN4.

Cell lengths 3.4993, 12.3739, 12.1617 Å; angles 90.00, 90.00, 90.00 degrees
Closest atoms and distances in Å follow each position.
Space group Cmcm (No. 63)
Asymmetric unit:
Ac: 0.0000 0.0901 0.2500  6 N 2.70-3.00
Tb: 0.0000 0.3714 0.0358  5 N 2.34-2.60
Ta: 0.0000 0.1700 0.7500  4 N 1.94-2.10
N: 0.0000 0.0000 0.0000  4 Tb 2.40
N: 0.0000 0.2606 0.6198  1 Ta 1.94
N: 0.0000 0.4240 0.2500  2 Ta 2.10

Results
* total DFT energy (no corrections): -68.62 eV/f.u.
* uncorrected formation energy: -1261.6 meV per atom

***

2.
## CaHo2Tm3Te6 (PBE)

Data for an optimized crystal structure of CaHo2Tm3Te6.

Cell lengths 18.9484, 4.3415, 8.6936 Å; angles 90.00, 103.64, 90.00 degrees
Closest atoms and distances in Å follow each position.
Space group C2/m (No. 12)
Asymmetric unit:
Ca: 0.0000 0.0000 0.0000  6 Te 3.10-3.11
Ho: 0.1721 0.5000 0.3439  6 Te 3.03-3.14
Tm: 0.0000 0.0000 0.5000  6 Te 3.01-3.05
Tm: 0.1659 0.5000 0.8240  6 Te 3.01-3.11
Te: 0.0018 0.5000 0.2552  3 Tm 3.05-3.09, 2 Ca 3.10, 1 Ho 3.14
Te: 0.1635 0.0000 0.5836  3 Tm 3.01, 3 Ho 3.03-3.04
Te: 0.1689 0.0000 0.0811  3 Tm 3.04-3.11, 1 Ca 3.11, 2 Ho 3.14

Results
* total DFT energy (no corrections): -58.69 eV/f.u.
* uncorrected formation energy: -1272.1 meV per atom

***

3.
## PuNi8Pt3 (PBE)

Data for an optimized crystal structure of PuNi8Pt3.

Cell lengths 4.8288, 4.8288, 7.8012 Å; angles 90.00, 90.00, 120.00 degrees
Closest atoms and distances in Å follow each position.
Space group P3m1 (No. 156)
Asymmetric unit:
Pu: 0.0000 0.0000 0.0000  12 Ni 2.84-2.86, 4 Pt 2.95-2.99
Ni: 0.1649 0.3298 0.6784  6 Ni 2.38-2.44
Ni: 0.3333 0.6667 0.4323  6 Ni 2.36-2.38
Ni: 0.3333 0.6667 0.9317  6 Ni 2.43-2.47
Ni: 0.5029 0.0058 0.1905  6 Ni 2.36-2.47
Pt: 0.0000 0.0000 0.3783  12 Ni 2.72-2.82, 3 Pt 2.94, 1 Pu 2.95
Pt: 0.6667 0.3333 0.4966  12 Ni 2.75-2.83, 4 Pt 2.86-2.94
Pt: 0.6667 0.3333 0.8628  12 Ni 2.81-2.90, 1 Pt 2.86, 3 Pu 2.99

Results
* energy of formation: -0.137 eV/atom
* total DFT energy (no corrections): -80.35 eV/f.u.

***

4.
## Hf6Al2Pd (PBE)

Data for an optimized crystal structure of Hf6Al2Pd.

Cell lengths 9.0766, 9.0766, 4.4081 Å; angles 90.00, 90.00, 90.00 degrees
Closest atoms and distances in Å follow each position.
Space group P4_2/mnm (No. 136)
Asymmetric unit:
Hf: 0.0246 0.3292 0.0000  3 Al 2.94-2.96, 1 Pd 3.00, 8 Hf 3.11-3.17
Hf: 0.1351 0.8649 0.5000  2 Pd 2.80, 4 Al 3.04-3.12, 2 Hf 3.11
Al: 0.2021 0.2021 0.5000  10 Hf 2.94-3.12
Pd: 0.0000 0.0000 0.0000  8 Hf 2.80-3.00

Results
* energy of formation: -0.285 eV/atom
* total DFT energy (no corrections): -74.97 eV/f.u.

***

5.
## Cr2TcSe (PBE)

Data for an optimized crystal structure of Cr2TcSe.

Cell lengths 2.8322, 2.8322, 23.6862 Å; angles 90.00, 90.00, 120.00 degrees
Closest atoms and distances in Å follow each position.
Space group R-3m (No. 166, hexagonal axes)
Asymmetric unit:
Cr: 0.0000 0.0000 0.2480  3 Se 2.53, 3 Tc 2.60
Tc: 0.0000 0.0000 0.0000  6 Cr 2.60, 6 Tc 2.83
Se: 0.0000 0.0000 0.5000  6 Cr 2.53

Results
* total DFT energy (no corrections): -31.78 eV/f.u.
* uncorrected formation energy: 330.1 meV per atom

***

6.
## Sr2Sb2Au (PBE)

Data for an optimized crystal structure of Sr2Sb2Au.

Cell lengths 6.4939, 6.4939, 8.6656 Å; angles 90.00, 90.00, 90.00 degrees
Closest atoms and distances in Å follow each position.
Space group I4/mmm (No. 139)
Asymmetric unit:
Sr: 0.0000 0.5000 0.2500  4 Sb 3.30
Sb: 0.0000 0.0000 0.1819  1 Au 2.76
Au: 0.0000 0.0000 0.5000  2 Sb 2.76

Results
* total DFT energy (no corrections): -17.75 eV/f.u.
* uncorrected formation energy: -573.3 meV per atom